Entry 1:
Here is crystalline RbBa2InPb at its relaxed geometry from the Alexandria database. Energies are from PBE-GGA.

Cell: 6.578 6.578 5.944 Å, 90.00 90.00 90.00°
Atoms (fractional coordinates):
Rb  0.000  0.000  0.000
Ba  0.000  0.500  0.000
Ba  0.500  0.000  0.000
In  0.000  0.000  0.500
Pb  0.500  0.500  0.500

Entry 2:
Here is crystalline BaIn2RhPb at its relaxed geometry from the Alexandria database. Energies are from PBE-GGA.

Cell: 5.234 5.234 5.414 Å, 90.00 90.00 90.00°
Atoms (fractional coordinates):
Ba  0.000  0.000  0.000
In  0.000  0.500  0.500
In  0.500  0.000  0.500
Rh  0.500  0.500  0.500
Pb  0.500  0.500  0.000

Entry 3:
Here is crystalline Ba2InRhPb at its relaxed geometry from the Alexandria database. Energies are from PBE-GGA.

Cell: 5.936 5.936 5.205 Å, 90.00 90.00 90.00°
Atoms (fractional coordinates):
Ba  0.000  0.500  0.000
Ba  0.500  0.000  0.000
In  0.000  0.000  0.500
Rh  0.000  0.000  0.000
Pb  0.500  0.500  0.500

Entry 4:
Here is crystalline Ba2InRh4Pb3 at its relaxed geometry from the Alexandria database. Energies are from PBE-GGA.

Cell: 4.720 4.720 11.244 Å, 90.00 90.00 90.00°
Atoms (fractional coordinates):
Ba  0.000  0.500  0.244
Ba  0.500  0.000  0.756
In  0.000  0.000  0.500
Rh  0.000  0.000  0.000
Rh  0.000  0.500  0.628
Rh  0.500  0.000  0.372
Rh  0.500  0.500  0.000
Pb  0.000  0.500  0.875
Pb  0.500  0.000  0.125
Pb  0.500  0.500  0.500

Entry 5:
Here is crystalline BaInRhPb2 at its relaxed geometry from the Alexandria database. Energies are from PBE-GGA.

Cell: 5.415 5.415 5.266 Å, 90.00 90.00 90.00°
Atoms (fractional coordinates):
Ba  0.000  0.000  0.000
In  0.500  0.500  0.000
Rh  0.500  0.500  0.500
Pb  0.000  0.500  0.500
Pb  0.500  0.000  0.500

Entry 6:
Here is crystalline Ba2InPbS5 at its relaxed geometry from the Alexandria database. Energies are from PBE-GGA.

Cell: 9.670 9.670 12.759 Å, 90.00 90.00 154.76°
Atoms (fractional coordinates):
Ba  0.111  0.889  0.500
Ba  0.126  0.874  0.125
Ba  0.874  0.126  0.625
Ba  0.889  0.111  0.000
In  0.441  0.559  0.265
In  0.559  0.441  0.765
Pb  0.222  0.778  0.842
Pb  0.778  0.222  0.342
S  0.048  0.952  0.872
S  0.281  0.719  0.489
S  0.314  0.686  0.190
S  0.361  0.639  0.816
S  0.499  0.501  0.595
S  0.501  0.499  0.095
S  0.639  0.361  0.316
S  0.686  0.314  0.690
S  0.719  0.281  0.989
S  0.952  0.048  0.372

## Properties
* E_form (uncorrected): -1.1768 eV/atom

Entry 7:
Here is crystalline BaInPb2S4 at its relaxed geometry from the Alexandria database. Energies are from PBE-GGA.

Cell: 8.567 8.567 8.567 Å, 120.07 119.81 90.10°
Atoms (fractional coordinates):
Ba  0.000  0.000  0.000
Ba  0.500  0.000  0.500
In  0.500  0.000  0.000
In  0.500  0.500  0.500
Pb  0.000  0.000  0.500
Pb  0.000  0.500  0.000
Pb  0.000  0.500  0.500
Pb  0.500  0.500  0.000
S  0.252  0.745  0.507
S  0.255  0.265  0.509
S  0.255  0.746  0.991
S  0.262  0.255  0.007
S  0.738  0.745  0.993
S  0.745  0.254  0.009
S  0.745  0.735  0.491
S  0.748  0.255  0.493

## Properties
* E_form (uncorrected): -0.8248 eV/atom

Entry 8:
Here is crystalline Ba2InPbS4 at its relaxed geometry from the Alexandria database. Energies are from PBE-GGA.

Cell: 8.746 8.746 8.746 Å, 120.73 119.39 89.90°
Atoms (fractional coordinates):
Ba  0.000  0.000  0.000
Ba  0.500  0.000  0.000
Ba  0.500  0.000  0.500
Ba  0.500  0.500  0.500
In  0.000  0.500  0.500
In  0.500  0.500  0.000
Pb  0.000  0.000  0.500
Pb  0.000  0.500  0.000
S  0.235  0.744  0.492
S  0.246  0.263  0.517
S  0.246  0.729  0.983
S  0.248  0.256  0.992
S  0.752  0.744  0.008
S  0.754  0.271  0.017
S  0.754  0.737  0.483
S  0.765  0.256  0.508

## Properties
* E_form (uncorrected): -1.1810 eV/atom

Entry 9:
Here is crystalline BaInSb2Pb at its relaxed geometry from the Alexandria database. Energies are from PBE-GGA.

Cell: 9.422 9.422 9.800 Å, 101.34 101.34 29.80°
Atoms (fractional coordinates):
Ba  0.180  0.180  0.162
Ba  0.820  0.820  0.838
In  0.425  0.425  0.330
In  0.575  0.575  0.670
Sb  0.164  0.164  0.805
Sb  0.410  0.410  0.639
Sb  0.590  0.590  0.361
Sb  0.836  0.836  0.195
Pb  0.188  0.188  0.515
Pb  0.812  0.812  0.485

## Properties
* E_form (uncorrected): -0.3052 eV/atom

Entry 10:
Here is crystalline Ba2In2Sb4Pb at its relaxed geometry from the Alexandria database. Energies are from PBE-GGA.

Cell: 9.017 9.017 7.227 Å, 109.69 109.69 34.37°
Atoms (fractional coordinates):
Ba  0.135  0.135  0.103
Ba  0.865  0.865  0.897
In  0.337  0.337  0.493
In  0.663  0.663  0.507
Sb  0.206  0.206  0.696
Sb  0.494  0.494  0.213
Sb  0.506  0.506  0.787
Sb  0.794  0.794  0.304
Pb  0.000  0.000  0.500

## Properties
* E_form (uncorrected): -0.5043 eV/atom

Entry 11:
Here is crystalline Ba2InPbSe at its relaxed geometry from the Alexandria database. Energies are from PBE-GGA.

Cell: 6.620 6.620 5.440 Å, 90.00 90.00 90.00°
Atoms (fractional coordinates):
Ba  0.000  0.500  0.000
Ba  0.500  0.000  0.000
In  0.000  0.000  0.000
Pb  0.000  0.000  0.500
Se  0.500  0.500  0.500

## Properties
* E_form (uncorrected): -0.2799 eV/atom

Entry 12:
Here is crystalline BaInPb2Se4 at its relaxed geometry from the Alexandria database. Energies are from PBE-GGA.

Cell: 8.883 8.883 8.883 Å, 120.14 119.83 90.03°
Atoms (fractional coordinates):
Ba  0.000  0.000  0.000
Ba  0.500  0.000  0.500
In  0.500  0.000  0.000
In  0.500  0.500  0.500
Pb  0.000  0.000  0.500
Pb  0.000  0.500  0.000
Pb  0.000  0.500  0.500
Pb  0.500  0.500  0.000
Se  0.251  0.744  0.507
Se  0.255  0.265  0.510
Se  0.255  0.744  0.990
Se  0.263  0.256  0.007
Se  0.737  0.744  0.993
Se  0.745  0.256  0.010
Se  0.745  0.735  0.490
Se  0.749  0.256  0.493

## Properties
* E_form (uncorrected): -0.8424 eV/atom

Entry 13:
Here is crystalline Ba2InSnPb6 at its relaxed geometry from the Alexandria database. Energies are from PBE-GGA.

Cell: 19.789 19.789 19.789 Å, 19.94 19.94 19.94°
Atoms (fractional coordinates):
Ba  0.097  0.097  0.097
Ba  0.318  0.318  0.318
Ba  0.682  0.682  0.682
Ba  0.903  0.903  0.903
In  0.000  0.000  0.000
In  0.500  0.500  0.500
Sn  0.421  0.421  0.421
Sn  0.579  0.579  0.579
Pb  0.115  0.634  0.634
Pb  0.210  0.210  0.707
Pb  0.210  0.707  0.210
Pb  0.293  0.790  0.790
Pb  0.366  0.366  0.885
Pb  0.366  0.885  0.366
Pb  0.634  0.115  0.634
Pb  0.634  0.634  0.115
Pb  0.707  0.210  0.210
Pb  0.790  0.293  0.790
Pb  0.790  0.790  0.293
Pb  0.885  0.366  0.366

Entry 14:
Here is crystalline Ba2In4Sn3Pb at its relaxed geometry from the Alexandria database. Energies are from PBE-GGA.

Cell: 5.139 5.139 12.625 Å, 90.00 90.00 90.00°
Atoms (fractional coordinates):
Ba  0.000  0.500  0.249
Ba  0.500  0.000  0.751
In  0.000  0.000  0.500
In  0.000  0.500  0.865
In  0.500  0.000  0.135
In  0.500  0.500  0.500
Sn  0.000  0.000  0.000
Sn  0.000  0.500  0.631
Sn  0.500  0.000  0.369
Pb  0.500  0.500  0.000

Entry 15:
Here is crystalline Ba2In4SnPb3 at its relaxed geometry from the Alexandria database. Energies are from PBE-GGA.

Cell: 5.149 5.149 13.015 Å, 90.00 90.00 90.00°
Atoms (fractional coordinates):
Ba  0.000  0.500  0.244
Ba  0.500  0.000  0.756
In  0.000  0.000  0.500
In  0.000  0.500  0.870
In  0.500  0.000  0.130
In  0.500  0.500  0.500
Sn  0.500  0.500  0.000
Pb  0.000  0.000  0.000
Pb  0.000  0.500  0.637
Pb  0.500  0.000  0.363

Entry 16:
Here is crystalline Ba2SrIn2Pb2 at its relaxed geometry from the Alexandria database. Energies are from PBE-GGA.

Cell: 14.343 14.343 14.343 Å, 19.82 19.82 19.82°
Atoms (fractional coordinates):
Ba  0.118  0.118  0.118
Ba  0.882  0.882  0.882
Sr  0.000  0.000  0.000
In  0.404  0.404  0.404
In  0.596  0.596  0.596
Pb  0.286  0.286  0.286
Pb  0.714  0.714  0.714

Entry 17:
Here is crystalline BaSr2InPb at its relaxed geometry from the Alexandria database. Energies are from PBE-GGA.

Cell: 6.364 6.364 6.749 Å, 90.00 90.00 90.00°
Atoms (fractional coordinates):
Ba  0.000  0.000  0.000
Sr  0.000  0.500  0.500
Sr  0.500  0.000  0.500
In  0.500  0.500  0.000
Pb  0.000  0.000  0.500

Entry 18:
Here is crystalline BaSr2In2Pb2 at its relaxed geometry from the Alexandria database. Energies are from PBE-GGA.

Cell: 10.405 10.405 10.405 Å, 30.65 30.65 30.65°
Atoms (fractional coordinates):
Ba  0.000  0.000  0.000
Sr  0.134  0.134  0.134
Sr  0.866  0.866  0.866
In  0.427  0.427  0.427
In  0.573  0.573  0.573
Pb  0.259  0.259  0.259
Pb  0.741  0.741  0.741

Entry 19:
Here is crystalline BaTbInPb at its relaxed geometry from the Alexandria database. Energies are from PBE-GGA.

Cell: 5.726 5.726 5.726 Å, 60.00 60.00 60.00°
Atoms (fractional coordinates):
Ba  0.000  0.000  0.000
Tb  0.500  0.500  0.500
In  0.750  0.750  0.750
Pb  0.250  0.250  0.250

Entry 20:
Here is crystalline BaInTe4Pb2 at its relaxed geometry from the Alexandria database. Energies are from PBE-GGA.

Cell: 9.415 9.415 9.415 Å, 120.26 119.87 89.89°
Atoms (fractional coordinates):
Ba  0.000  0.000  0.000
Ba  0.500  0.000  0.500
In  0.500  0.000  0.000
In  0.500  0.500  0.500
Te  0.248  0.743  0.506
Te  0.253  0.266  0.513
Te  0.253  0.740  0.987
Te  0.263  0.257  0.006
Te  0.737  0.743  0.994
Te  0.747  0.260  0.013
Te  0.747  0.734  0.487
Te  0.752  0.257  0.494
Pb  0.000  0.000  0.500
Pb  0.000  0.500  0.000
Pb  0.000  0.500  0.500
Pb  0.500  0.500  0.000

## Properties
* E_form (uncorrected): -0.6576 eV/atom

Entry 21:
Here is crystalline Ba2InTe4Pb at its relaxed geometry from the Alexandria database. Energies are from PBE-GGA.

Cell: 9.608 9.608 9.608 Å, 120.10 119.93 89.98°
Atoms (fractional coordinates):
Ba  0.000  0.000  0.000
Ba  0.500  0.000  0.000
Ba  0.500  0.000  0.500
Ba  0.500  0.500  0.500
In  0.000  0.000  0.500
In  0.000  0.500  0.000
Te  0.226  0.744  0.482
Te  0.238  0.256  0.982
Te  0.241  0.253  0.512
Te  0.241  0.729  0.988
Te  0.759  0.271  0.012
Te  0.759  0.747  0.488
Te  0.762  0.744  0.018
Te  0.774  0.256  0.518
Pb  0.000  0.500  0.500
Pb  0.500  0.500  0.000

## Properties
* E_form (uncorrected): -0.9728 eV/atom

Entry 22:
Here is crystalline BaInTe3Pb at its relaxed geometry from the Alexandria database. Energies are from PBE-GGA.

Cell: 9.063 5.152 10.338 Å, 90.00 103.44 90.00°
Atoms (fractional coordinates):
Ba  0.204  0.250  0.232
Ba  0.796  0.750  0.768
In  0.123  0.250  0.602
In  0.877  0.750  0.398
Te  0.082  0.250  0.874
Te  0.222  0.750  0.513
Te  0.456  0.750  0.180
Te  0.544  0.250  0.820
Te  0.778  0.250  0.487
Te  0.918  0.750  0.126
Pb  0.333  0.750  0.875
Pb  0.667  0.250  0.125

## Properties
* E_form (uncorrected): -0.7268 eV/atom

Number 1: energy -1.627 eV/atom. Number 2: energy -3.987 eV/atom. Number 3: energy -3.813 eV/atom. Number 4: energy -5.051 eV/atom. Number 5: energy -4.090 eV/atom. Number 6: energy -4.613 eV/atom. Number 7: energy -4.398 eV/atom. Number 8: energy -4.531 eV/atom. Number 9: energy -3.628 eV/atom. Number 10: energy -3.784 eV/atom. Number 11: energy -3.035 eV/atom. Number 12: energy -4.094 eV/atom. Number 13: energy -3.470 eV/atom. Number 14: energy -3.359 eV/atom. Number 15: energy -3.260 eV/atom. Number 16: energy -2.993 eV/atom. Number 17: energy -2.395 eV/atom. Number 18: energy -2.931 eV/atom. Number 19: energy -3.584 eV/atom. Number 20: energy -3.738 eV/atom. Number 21: energy -3.830 eV/atom. Number 22: energy -3.693 eV/atom.